First-principles (PBE) data for an optimized crystal structure of CaCo2Pb, as listed in Alexandria via LeMat-Bulk.

Values from the calculation:
- ΔE_f: 0.199 eV per atom
- Magnetization: 0.731 μB per atom
- E_tot: -4.78 eV per atom

Cell lengths 3.238, 3.238, 7.423 Å; angles 90.00, 90.00, 90.00 degrees
Space group P4mm (No. 99)
Symmetry-distinct sites (fractional):
Ca 0.000 0.000 0.000
Co 0.000 0.000 0.394
Co 0.500 0.500 0.271
Pb 0.500 0.500 0.642